No. 1
A geometry-optimized Ge2TeIr structure, computed with PBE-GGA.

abc: 6.7157 6.7157 6.7157
angles: 90.00 90.00 90.00
Space group F-43m (No. 216)
Inequivalent atoms, fractional coordinates:
Ge 0.0000 0.0000 0.0000
Ge 0.2500 0.2500 0.2500
Te 0.0000 0.0000 0.5000
Ir 0.2500 0.2500 0.7500



No. 2
A geometry-optimized Th3Ge13Ir4 structure, computed with PBE-GGA.

abc: 9.1362 9.1362 9.1362
angles: 90.00 90.00 90.00
Space group Pm-3n (No. 223)
Inequivalent atoms, fractional coordinates:
Th 0.0000 0.2500 0.5000
Ge 0.0000 0.0000 0.0000
Ge 0.0000 0.3064 0.1439
Ir 0.2500 0.2500 0.2500



No. 3
A geometry-optimized Th2Ge3Ir structure, computed with PBE-GGA.

abc: 8.4141 8.5069 14.7325
angles: 90.00 90.00 90.00
Space group Fmmm (No. 69)
Inequivalent atoms, fractional coordinates:
Th 0.2476 0.0000 0.0000
Th 0.2500 0.2500 0.2500
Ge 0.0000 0.0000 0.3318
Ge 0.0000 0.2486 0.0841
Ir 0.0000 0.0000 0.1671



No. 4
A geometry-optimized TlGe5Ir3 structure, computed with PBE-GGA.

abc: 5.6116 5.6116 6.3200
angles: 90.00 90.00 120.00
Space group P6/mmm (No. 191)
Inequivalent atoms, fractional coordinates:
Tl 0.0000 0.0000 0.0000
Ge 0.0000 0.0000 0.5000
Ge 0.3333 0.6667 0.1957
Ir 0.0000 0.5000 0.5000



No. 5
A geometry-optimized TlGe2Ir structure, computed with PBE-GGA.

abc: 6.7092 6.7092 6.7092
angles: 90.00 90.00 90.00
Space group F-43m (No. 216)
Inequivalent atoms, fractional coordinates:
Tl 0.0000 0.0000 0.0000
Ge 0.0000 0.0000 0.5000
Ge 0.2500 0.2500 0.7500
Ir 0.2500 0.2500 0.2500



No. 6
A geometry-optimized Tl2GeIr structure, computed with PBE-GGA.

abc: 6.9962 6.9962 6.9962
angles: 90.00 90.00 90.00
Space group F-43m (No. 216)
Inequivalent atoms, fractional coordinates:
Tl 0.0000 0.0000 0.0000
Tl 0.2500 0.2500 0.2500
Ge 0.0000 0.0000 0.5000
Ir 0.2500 0.2500 0.7500



Number 1: raw total energy -78.44 eV for the cell shown. Number 2: raw total energy -255.67 eV for the cell shown. Number 3: raw total energy -338.25 eV for the cell shown. Number 4: raw total energy -51.53 eV for the cell shown. Number 5: raw total energy -74.11 eV for the cell shown. Number 6: raw total energy -63.72 eV for the cell shown.